1.
## Tl2GaS8 (PBE-GGA)

Data for crystalline Tl2GaS8 at its relaxed geometry.

raw formation energy: -39 meV/atom
total magnetic moment: 0.0 μB/cell

Cell lengths 6.1699, 6.4323, 7.8543 Å; angles 76.29, 80.83, 82.59 degrees
Last column: nearest neighbours and their distance in Å.
Space group P-1 (No. 2)
Unique sites:
Tl: 0.1374 0.4101 0.2547 (multiplicity 2)  7 S 3.22-3.60
Ga: 0.5000 0.0000 0.0000 (multiplicity 1)  4 S 2.50-2.66
S: 0.1323 0.9391 0.1806 (multiplicity 2)  1 S 2.06
S: 0.2805 0.8428 0.4079 (multiplicity 2)  2 S 2.06-2.17
S: 0.3675 0.4363 0.8481 (multiplicity 2)  1 S 2.06
S: 0.3745 0.2170 0.6936 (multiplicity 2)  2 S 2.06-2.17



2.
## Tl5Ga2S5 (PBE-GGA)

Data for crystalline Tl5Ga2S5 at its relaxed geometry.

raw formation energy: -412 meV/atom
total magnetic moment: 0.0 μB/cell

Cell lengths 14.8974, 3.8158, 11.4759 Å; angles 90.00, 96.80, 90.00 degrees
Last column: nearest neighbours and their distance in Å.
Space group C2/m (No. 12)
Unique sites:
Tl: 0.0000 0.0000 0.0000 (multiplicity 2)  6 S 3.34-3.52
Tl: 0.1562 0.0000 0.5741 (multiplicity 4)  3 S 3.05-3.33
Tl: 0.2468 0.5000 0.1267 (multiplicity 4)  4 S 2.97-3.31
Ga: 0.0326 0.5000 0.2999 (multiplicity 4)  4 S 2.26-2.40
S: 0.0000 0.5000 0.5000 (multiplicity 2)  2 Ga 2.40
S: 0.1012 0.5000 0.8159 (multiplicity 4)  1 Ga 2.26
S: 0.1232 0.0000 0.2818 (multiplicity 4)  2 Ga 2.36



3.
## TlGaS4 (PBE-GGA)

Data for crystalline TlGaS4 at its relaxed geometry.

raw formation energy: -156 meV/atom
total magnetic moment: 0.0 μB/cell

Cell lengths 20.5715, 4.9250, 6.9903 Å; angles 90.00, 102.48, 90.00 degrees
Last column: nearest neighbours and their distance in Å.
Space group C2/m (No. 12)
Unique sites:
Tl: 0.2269 0.0000 0.2613 (multiplicity 4)  3 S 3.00-3.02
Ga: 0.0762 0.5000 0.8651 (multiplicity 4)  3 S 2.19-2.41
S: 0.0000 0.2251 0.0000 (multiplicity 4)  1 S 2.22, 2 Ga 2.41
S: 0.0684 0.1991 0.5595 (multiplicity 8)  1 S 1.96
S: 0.1812 0.5000 0.0188 (multiplicity 4)  1 Ga 2.19



4.
## TlGa4S7 (PBE-GGA)

Data for crystalline TlGa4S7 at its relaxed geometry.

raw formation energy: -558 meV/atom
total magnetic moment: 2.1 μB/cell

Cell lengths 15.1504, 6.3245, 6.0484 Å; angles 90.00, 90.00, 90.00 degrees
Last column: nearest neighbours and their distance in Å.
Space group Pmn2_1 (No. 31)
Unique sites:
Tl: 0.0000 0.1509 0.0000 (multiplicity 2)  7 S 3.34-3.69
Ga: 0.1211 0.6620 0.6098 (multiplicity 4)  4 S 2.28-2.34
Ga: 0.2492 0.1778 0.5915 (multiplicity 4)  4 S 2.26-2.36
S: 0.0000 0.8362 0.4706 (multiplicity 2)  2 Ga 2.30
S: 0.1166 0.7021 0.9857 (multiplicity 4)  2 Ga 2.26-2.29
S: 0.1175 0.3191 0.4959 (multiplicity 4)  2 Ga 2.26-2.28
S: 0.2497 0.1775 0.9820 (multiplicity 4)  3 Ga 2.34-2.36



5.
## Tl3GaS4 (PBE-GGA)

Data for crystalline Tl3GaS4 at its relaxed geometry.

raw formation energy: -376 meV/atom
total magnetic moment: 0.0 μB/cell

Cell lengths 10.4560, 6.5377, 6.4876 Å; angles 90.00, 90.00, 90.00 degrees
Last column: nearest neighbours and their distance in Å.
Space group Pmn2_1 (No. 31)
Unique sites:
Tl: 0.0000 0.2412 0.0000 (multiplicity 2)  6 S 3.19-3.45
Tl: 0.2497 0.2718 0.4927 (multiplicity 4)  4 S 2.71-2.84
Ga: 0.0000 0.8037 0.4566 (multiplicity 2)  4 S 2.29-2.34
S: 0.0000 0.1564 0.5161 (multiplicity 2)  1 Ga 2.34
S: 0.0000 0.7605 0.0986 (multiplicity 2)  1 Ga 2.34
S: 0.1955 0.6887 0.5665 (multiplicity 4)  1 Ga 2.29



6.
## UTl2GaS5 (PBE-GGA)

Data for crystalline UTl2GaS5 at its relaxed geometry.

raw formation energy: -799 meV/atom
total magnetic moment: 4.0 μB/cell

Cell lengths 3.9623, 18.2024, 14.0155 Å; angles 90.00, 90.00, 90.00 degrees
Last column: nearest neighbours and their distance in Å.
Space group Cmc2_1 (No. 36)
Unique sites:
U: 0.0000 0.2038 0.0000 (multiplicity 4)  6 S 2.46-2.75
Tl: 0.0000 0.1107 0.6465 (multiplicity 4)  5 S 3.18-3.39
Tl: 0.0000 0.1218 0.3019 (multiplicity 4)  4 S 3.06-3.29
Ga: 0.0000 0.4358 0.3943 (multiplicity 4)  4 S 2.18-2.42
S: 0.0000 0.0529 0.9927 (multiplicity 4)  2 Ga 2.42
S: 0.0000 0.2957 0.6212 (multiplicity 4)  2 U 2.61
S: 0.0000 0.3073 0.3688 (multiplicity 4)  1 Ga 2.37
S: 0.0000 0.3382 0.9819 (multiplicity 4)  1 U 2.46
S: 0.0000 0.4976 0.2608 (multiplicity 4)  1 Ga 2.18



7.
## U3Tl3GaS8 (PBE-GGA)

Data for crystalline U3Tl3GaS8 at its relaxed geometry.

raw formation energy: -951 meV/atom
total magnetic moment: 17.9 μB/cell

Cell lengths 8.1282, 8.1282, 22.1253 Å; angles 90.00, 90.00, 120.00 degrees
Last column: nearest neighbours and their distance in Å.
Space group R-3m (No. 166, hexagonal axes)
Unique sites:
U: 0.0000 0.5000 0.0000 (multiplicity 9)  6 S 2.68-2.76
Tl: 0.0000 0.5000 0.5000 (multiplicity 9)  6 S 3.23-3.33
Ga: 0.0000 0.0000 0.0000 (multiplicity 3)  6 S 2.82
S: 0.0000 0.0000 0.2673 (multiplicity 6)  3 U 2.76
S: 0.0160 0.5080 0.2706 (multiplicity 18)  2 U 2.68, 1 Ga 2.82



8.
## YTl2GaS4 (PBE-GGA)

Data for crystalline YTl2GaS4 at its relaxed geometry.

raw formation energy: -850 meV/atom
total magnetic moment: 0.0 μB/cell

Cell lengths 8.0391, 8.2943, 11.6362 Å; angles 90.00, 90.00, 90.00 degrees
Last column: nearest neighbours and their distance in Å.
Space group Imma (No. 74)
Unique sites:
Y: 0.0000 0.0000 0.0000 (multiplicity 4)  6 S 2.76-2.80
Tl: 0.0000 0.0000 0.5000 (multiplicity 4)  6 S 3.05-3.07
Tl: 0.2500 0.2500 0.2500 (multiplicity 4)  6 S 3.18-3.20
Ga: 0.2500 0.2500 0.7500 (multiplicity 4)  6 S 2.63
S: 0.0000 0.0467 0.7613 (multiplicity 8)  2 Ga 2.63, 1 Y 2.80
S: 0.2236 0.2500 0.9754 (multiplicity 8)  1 Ga 2.63, 2 Y 2.76



The records above give, respectively, calculated volume values of 27.055; 26.990; 28.812; 24.148; 27.717; 28.079; 28.133; 24.246 Å³/atom.